{"formula": "Ho3CdS6", "functional": "GGA-PBE", "state": "optimized geometry", "formation_energy_uncorrected_mev_per_atom": -1567, "magmom_total_mub_per_fu": 0.000, "e_tot_ev_per_cell": -110.2, "lattice_angstrom": [[5.338, -6.425, 0.000], [5.338, 6.425, 0.000], [0.000, 0.000, 6.734]], "species": ["Ho", "Ho", "Ho", "Ho", "Ho", "Ho", "Cd", "Cd", "S", "S", "S", "S", "S", "S", "S", "S", "S", "S", "S", "S"], "fractional_positions": [[0.098, 0.902, 0.500], [0.219, 0.417, 0.410], [0.417, 0.219, 0.910], [0.583, 0.781, 0.410], [0.781, 0.583, 0.910], [0.902, 0.098, 0.000], [0.297, 0.703, 0.891], [0.703, 0.297, 0.391], [0.047, 0.595, 0.675], [0.129, 0.197, 0.707], [0.197, 0.129, 0.207], [0.274, 0.726, 0.257], [0.405, 0.953, 0.675], [0.471, 0.529, 0.698], [0.529, 0.471, 0.198], [0.595, 0.047, 0.175], [0.726, 0.274, 0.757], [0.803, 0.871, 0.707], [0.871, 0.803, 0.207], [0.953, 0.405, 0.175]]}

***

{"formula": "CdReO2", "functional": "GGA-PBE", "state": "optimized geometry", "formation_energy_uncorrected_mev_per_atom": -598, "magmom_total_mub_per_fu": 0.000, "e_tot_ev_per_cell": -25.7, "lattice_angstrom": [[1.496, 0.864, 6.727], [-1.496, 0.864, 6.727], [0.000, -1.727, 6.727]], "species": ["Cd", "Re", "O", "O"], "fractional_positions": [[0.000, 0.000, 0.000], [0.500, 0.500, 0.500], [0.406, 0.406, 0.406], [0.594, 0.594, 0.594]]}